No. 1
This record from the Alexandria database describes a relaxed structure of Ce3Si6Ni2Rh. The functional is PBE-GGA.

N(E_F)   16.32 states/eV per cell
Uncorrected energy   -6.20 eV per atom
Formation energy without anion corrections   -0.43 eV/atom
ρ   6.06 Mg/m³

POSCAR file:
```
Ce3Si6Ni2Rh
1.0
5.8552 0.0000 0.0000
-2.9276 5.0708 0.0000
0.0000 0.0000 7.4672
Si Ce Ni Rh
6 3 2 1
Direct
0.8058 0.1942 0.6971
0.1942 0.8058 0.3029
0.8058 0.6117 0.6971
0.6117 0.8058 0.3029
0.1942 0.3883 0.3029
0.3883 0.1942 0.6971
0.6667 0.3333 0.3347
0.0000 0.0000 0.0000
0.3333 0.6667 0.6653
0.6667 0.3333 0.9461
0.3333 0.6667 0.0539
0.0000 0.0000 0.5000
```

***

No. 2
This record from the Alexandria database describes a relaxed structure of BaLa2Sn2. The functional is PBE-GGA.

N(E_F)   9.04 states/eV per cell
Energy of formation from the pure elements   -349 meV/atom
Uncorrected energy   -4.31 eV per atom
Energy above the most stable polymorph in this dataset   0.279 eV/atom
ρ   5.00 Mg/m³

POSCAR file:
```
BaLa2Sn2
1.0
-3.0620 5.0867 -3.7031
-7.1521 1.7045 1.6473
1.3897 8.7982 4.3467
Sn La Ba
4 4 2
Direct
0.5024 0.2496 0.9961
0.4976 0.7504 0.0039
0.2517 0.7504 0.4963
0.7483 0.2496 0.5037
0.5369 0.4251 0.2503
0.7878 0.9242 0.7499
0.2122 0.0758 0.2501
0.4631 0.5749 0.7497
0.8747 0.7506 0.2500
0.1253 0.2494 0.7500
```

***

No. 3
This record from the Alexandria database describes a relaxed structure of TbY3Co2. The functional is PBE-GGA.

N(E_F)   15.81 states/eV per cell
Energy of formation from the pure elements   -146 meV/atom
Uncorrected energy   -6.52 eV per atom
ρ   6.04 Mg/m³

POSCAR file:
```
TbY3Co2
1.0
3.6798 0.0000 0.7416
1.5470 8.1157 1.8244
-0.0969 -0.0320 9.9810
Tb Y Co
2 6 4
Direct
0.8399 0.5718 0.7484
0.1601 0.4282 0.2516
0.4168 0.7265 0.4399
0.5832 0.2735 0.5601
0.4170 0.2251 0.9410
0.1587 0.9295 0.7532
0.8413 0.0705 0.2468
0.5830 0.7749 0.0590
0.7651 0.4217 0.0482
0.2349 0.5783 0.9518
0.7662 0.9220 0.5457
0.2338 0.0780 0.4543
```